VASP calculation (PBE-GGA) on a relaxed structure of Cs5Tl4Cd2.

Volume, A^3/atom: 52.909
Uncorrected energy, eV/f.u.: -15.46
Density, g/cm3: 4.87

a = 4.928 Å, b = 10.160 Å, c = 13.107 Å
α = 114.95°, β = 100.84°, γ = 90.00°
Sites, in units of the cell vectors:
Cd 0.565 0.562 0.131
Cs 0.160 0.379 0.321
Cd 0.435 0.438 0.869
Cs 0.840 0.621 0.679
Tl 0.003 0.342 0.007
Cs 0.157 0.926 0.315
Tl 0.305 0.307 0.610
Tl 0.695 0.693 0.390
Cs 0.843 0.074 0.685
Cs 0.500 0.000 0.000
Tl 0.997 0.658 0.993